(1)
{"formula": "CaSc4Mn", "functional": "PBE", "state": "optimized geometry", "lattice": [[0.000, 4.285, 4.285], [4.285, 0.000, 4.285], [4.285, 4.285, 0.000]], "species": ["Ca", "Sc", "Sc", "Sc", "Sc", "Mn"], "fractional_positions": [[0.000, 0.000, 0.000], [0.377, 0.377, 0.377], [0.377, 0.377, 0.870], [0.377, 0.870, 0.377], [0.870, 0.377, 0.377], [0.750, 0.750, 0.750]], "ef_ev_per_atom": 0.457, "total_magnetization_mub_per_cell": 4.1}

=====

(2)
{"formula": "CaScMn4", "functional": "PBE", "state": "optimized geometry", "lattice": [[0.000, 3.534, 3.534], [3.534, 0.000, 3.534], [3.534, 3.534, 0.000]], "species": ["Ca", "Sc", "Mn", "Mn", "Mn", "Mn"], "fractional_positions": [[0.000, 0.000, 0.000], [0.250, 0.250, 0.250], [0.127, 0.624, 0.624], [0.624, 0.127, 0.624], [0.624, 0.624, 0.127], [0.624, 0.624, 0.624]], "ef_ev_per_atom": 0.256, "total_magnetization_mub_per_cell": 0.0}